A relaxed structure of BaSrZn2C, computed with PBE-GGA.

SG = P4/mmm
DOS at the Fermi energy = 0.799 states/eV/atom
Calculated density = 3.78 Mg/m³
Energy of formation from the pure elements = 0.961 eV per atom
Size of the total moment = 0.051 μB per cell

Lattice parameters (Å, degrees): 5.812 4.777 5.812 90.00 90.00 90.00
Last column: magnetic moment on the atom in μB.
Fractional positions:
Sr  0.000  0.000  0.000  0.01
C  0.000  0.500  0.000  0.11
Ba  0.500  0.500  0.500  -0.02
Zn  0.000  0.000  0.500  -0.01
Zn  0.500  0.000  0.000  -0.01